Entry 1:
The following is a PBE-GGA calculation of an optimized crystal structure of Cs2Tm2TeS3, from OQMD.

abc: 4.1433 4.1433 16.5435
angles: 90.00 90.00 120.00
With the nearest neighbours (Å) after each atom.
Positions (direct):
Cs  0.0000  0.0000  0.0000  6 S 3.49-3.52
Cs  0.3333  0.6667  0.5217  3 S 3.50, 3 Te 3.71
Tm  0.6667  0.3333  0.2386  3 S 2.76, 3 Te 3.02
Tm  0.6667  0.3333  0.7609  6 S 2.77-2.78
Te  0.0000  0.0000  0.3505  3 Tm 3.02
S  0.0000  0.0000  0.6761  3 Tm 2.77
S  0.3333  0.6667  0.1557  3 Tm 2.76
S  0.3333  0.6667  0.8462  3 Tm 2.78

## Properties
Mass density, g cm⁻³: 5.59
DFT total energy, Ha/atom: -0.182



Entry 2:
The following is a PBE-GGA calculation of an optimized crystal structure of Cs2Te2WS, from OQMD.

abc: 8.7330 8.7330 11.1077
angles: 122.92 122.92 52.74
With the nearest neighbours (Å) after each atom.
Positions (direct):
Cs  0.0815  0.0815  0.3447  2 S 3.84, 5 Te 3.87-3.90
Cs  0.3009  0.3009  0.1887  5 Te 3.87-3.95
Cs  0.6991  0.6991  0.8113  5 Te 3.87-3.95
Cs  0.9185  0.9185  0.6553  2 S 3.84, 5 Te 3.87-3.90
Te  0.2088  0.2088  0.7736  1 W 2.61
Te  0.3923  0.3923  0.6072  1 W 2.60
Te  0.6077  0.6077  0.3928  1 W 2.60
Te  0.7912  0.7912  0.2264  1 W 2.61
W  0.4030  0.4030  0.8503  2 S 2.29
W  0.5970  0.5970  0.1497  2 S 2.29
S  0.2688  0.7312  0.0000  2 W 2.29
S  0.7312  0.2688  0.0000  2 W 2.29

## Properties
Mass density, g cm⁻³: 4.57
DFT total energy, Ha/atom: -0.178



> mass density of number 1 (Cs2Tm2TeS3)?

5.59 g cm⁻³